LiCrSe2O8 | PBE with a Hubbard U | relaxed

The structure in extended XYZ format:
```
12
Lattice="-3.583 3.583 2.925 3.583 -3.583 2.925 3.583 3.583 -2.925" Properties=species:S:1:pos:R:3 pbc="T T T"
Li 0.000 0.000 0.000
Cr 0.000 3.583 1.463
Se 3.583 0.000 1.463
Se 0.000 0.000 2.925
O 2.336 0.000 0.324
O 4.830 0.000 0.324
O 3.583 2.272 -1.037
O 3.583 -1.247 2.601
O 0.000 1.311 1.888
O 3.583 1.247 2.601
O 2.272 3.583 1.037
O 1.311 0.000 3.962
```

The total energy comes out at -5.551 eV per atom.